Model 1:
Entry from Alexandria via LeMat-Bulk: Cs2PmI5 after structural relaxation (PBE).

Structure (CIF):
```
data_Cs2PmI5
_symmetry_space_group_name_H-M 'P n m a'
_symmetry_Int_Tables_number 62
_cell_length_a 15.362
_cell_length_b 10.219
_cell_length_c 9.916
_cell_angle_alpha 90.00
_cell_angle_beta 90.00
_cell_angle_gamma 90.00
loop_
_symmetry_equiv_pos_as_xyz
'x,y,z'
'-x,-y,-z'
'-x+1/2,-y,z+1/2'
'x+1/2,y,-z+1/2'
'x+1/2,-y+1/2,-z+1/2'
'-x+1/2,y+1/2,z+1/2'
'-x,y+1/2,-z'
'x,-y+1/2,z'
loop_
_atom_site_label
_atom_site_type_symbol
_atom_site_fract_x
_atom_site_fract_y
_atom_site_fract_z
Cs1 Cs 0.169 0.012 0.091
Pm1 Pm 0.006 0.250 0.572
I1 I 0.016 0.250 0.896
I2 I 0.056 0.549 0.666
I3 I 0.185 0.250 0.417
I4 I 0.194 0.750 0.368
```

Properties
N(E_F)	0.00	states/eV per atom
crystal system	orthorhombic

=====

Model 2:
Entry from Alexandria via LeMat-Bulk: Cs2PmI5 after structural relaxation (PBE).

Structure (CIF):
```
data_Cs2PmI5
_symmetry_space_group_name_H-M 'I 4 m m'
_symmetry_Int_Tables_number 107
_symmetry_space_group_name_Hall 'I 4 -2'
_cell_length_a 9.235
_cell_length_b 9.235
_cell_length_c 10.903
_cell_angle_alpha 90.00
_cell_angle_beta 90.00
_cell_angle_gamma 90.00
loop_
_atom_site_label
_atom_site_type_symbol
_atom_site_fract_x
_atom_site_fract_y
_atom_site_fract_z
Cs1 Cs 0.000 0.500 0.000
Pm1 Pm 0.000 0.000 0.215
I1 I 0.000 0.000 0.949
I2 I 0.232 0.232 0.264
```

Properties
N(E_F)	0.00	states/eV per atom
crystal system	tetragonal

=====

Least stable: model 2

=====

Model 1:
Entry from Alexandria via LeMat-Bulk: CsPm2I8 after structural relaxation (PBE).

Structure (CIF):
```
data_CsPm2I8
_symmetry_space_group_name_H-M 'C 1 2/m 1'
_symmetry_Int_Tables_number 12
_cell_length_a 9.851
_cell_length_b 15.724
_cell_length_c 6.268
_cell_angle_alpha 90.00
_cell_angle_beta 90.11
_cell_angle_gamma 90.00
loop_
_symmetry_equiv_pos_as_xyz
'x,y,z'
'-x,-y,-z'
'-x,y,-z'
'x,-y,z'
'x+1/2,y+1/2,z'
'-x+1/2,-y+1/2,-z'
'-x+1/2,y+1/2,-z'
'x+1/2,-y+1/2,z'
loop_
_atom_site_label
_atom_site_type_symbol
_atom_site_fract_x
_atom_site_fract_y
_atom_site_fract_z
Cs1 Cs 0.000 0.000 0.000
Pm1 Pm 0.000 0.305 0.500
I1 I 0.000 0.263 0.000
I2 I 0.001 0.500 0.751
I3 I 0.191 0.136 0.501
```

Properties
N(E_F)	0.17	states/eV per atom
crystal system	monoclinic

=====

Model 2:
Entry from Alexandria via LeMat-Bulk: CsPm2I8 after structural relaxation (PBE).

Structure (CIF):
```
data_CsPm2I8
_symmetry_space_group_name_H-M 'C 1 2/m 1'
_symmetry_Int_Tables_number 12
_cell_length_a 12.331
_cell_length_b 9.808
_cell_length_c 9.817
_cell_angle_alpha 90.00
_cell_angle_beta 103.73
_cell_angle_gamma 90.00
loop_
_symmetry_equiv_pos_as_xyz
'x,y,z'
'-x,-y,-z'
'-x,y,-z'
'x,-y,z'
'x+1/2,y+1/2,z'
'-x+1/2,-y+1/2,-z'
'-x+1/2,y+1/2,-z'
'x+1/2,-y+1/2,z'
loop_
_atom_site_label
_atom_site_type_symbol
_atom_site_fract_x
_atom_site_fract_y
_atom_site_fract_z
Cs1 Cs 0.000 0.000 0.000
Pm1 Pm 0.181 0.500 0.452
I1 I 0.078 0.500 0.715
I2 I 0.117 0.185 0.374
I3 I 0.247 0.500 0.175
```

Properties
N(E_F)	1.17	states/eV per atom
crystal system	monoclinic

=====

Least stable: model 2

=====

Model 1:
Entry from Alexandria via LeMat-Bulk: Cs5Pr2I12 after structural relaxation (PBE).

Structure (CIF):
```
data_Cs5Pr2I12
_symmetry_space_group_name_H-M 'C 1 2/m 1'
_symmetry_Int_Tables_number 12
_cell_length_a 21.375
_cell_length_b 9.147
_cell_length_c 12.593
_cell_angle_alpha 90.00
_cell_angle_beta 108.62
_cell_angle_gamma 90.00
loop_
_symmetry_equiv_pos_as_xyz
'x,y,z'
'-x,-y,-z'
'-x,y,-z'
'x,-y,z'
'x+1/2,y+1/2,z'
'-x+1/2,-y+1/2,-z'
'-x+1/2,y+1/2,-z'
'x+1/2,-y+1/2,z'
loop_
_atom_site_label
_atom_site_type_symbol
_atom_site_fract_x
_atom_site_fract_y
_atom_site_fract_z
Cs1 Cs 0.000 0.000 0.000
Cs2 Cs 0.191 0.500 0.340
Cs3 Cs 0.207 0.500 0.857
Pr1 Pr 0.000 0.250 0.500
I1 I 0.004 0.000 0.677
I2 I 0.005 0.500 0.681
I3 I 0.145 0.279 0.067
I4 I 0.153 0.255 0.574
```

Properties
N(E_F)	0.25	states/eV per atom
crystal system	monoclinic

=====

Model 2:
Entry from Alexandria via LeMat-Bulk: Cs5Pr2I12 after structural relaxation (PBE).

Structure (CIF):
```
data_Cs5Pr2I12
_symmetry_space_group_name_H-M 'C 1 2/m 1'
_symmetry_Int_Tables_number 12
_cell_length_a 19.122
_cell_length_b 11.214
_cell_length_c 13.507
_cell_angle_alpha 90.00
_cell_angle_beta 134.87
_cell_angle_gamma 90.00
loop_
_symmetry_equiv_pos_as_xyz
'x,y,z'
'-x,-y,-z'
'-x,y,-z'
'x,-y,z'
'x+1/2,y+1/2,z'
'-x+1/2,-y+1/2,-z'
'-x+1/2,y+1/2,-z'
'x+1/2,-y+1/2,z'
loop_
_atom_site_label
_atom_site_type_symbol
_atom_site_fract_x
_atom_site_fract_y
_atom_site_fract_z
Cs1 Cs 0.000 0.000 0.000
Cs2 Cs 0.247 0.500 0.000
Cs3 Cs 0.248 0.500 0.497
Pr1 Pr 0.000 0.250 0.500
I1 I 0.000 0.185 0.265
I2 I 0.000 0.500 0.361
I3 I 0.138 0.000 0.638
I4 I 0.234 0.315 0.735
```

Properties
N(E_F)	0.57	states/eV per atom
crystal system	monoclinic

=====

Least stable: model 2

=====

Model 1:
Entry from Alexandria via LeMat-Bulk: Cs2PrI5 after structural relaxation (PBE).

Structure (CIF):
```
data_Cs2PrI5
_symmetry_space_group_name_H-M 'I 4 m m'
_symmetry_Int_Tables_number 107
_symmetry_space_group_name_Hall 'I 4 -2'
_cell_length_a 9.324
_cell_length_b 9.324
_cell_length_c 10.900
_cell_angle_alpha 90.00
_cell_angle_beta 90.00
_cell_angle_gamma 90.00
loop_
_atom_site_label
_atom_site_type_symbol
_atom_site_fract_x
_atom_site_fract_y
_atom_site_fract_z
Cs1 Cs 0.000 0.500 0.000
Pr1 Pr 0.000 0.000 0.219
I1 I 0.000 0.000 0.950
I2 I 0.232 0.232 0.269
```

Properties
N(E_F)	0.00	states/eV per atom
crystal system	tetragonal

=====

Model 2:
Entry from Alexandria via LeMat-Bulk: Cs2PrI5 after structural relaxation (PBE).

Structure (CIF):
```
data_Cs2PrI5
_symmetry_space_group_name_H-M 'P n m a'
_symmetry_Int_Tables_number 62
_cell_length_a 15.425
_cell_length_b 10.286
_cell_length_c 9.914
_cell_angle_alpha 90.00
_cell_angle_beta 90.00
_cell_angle_gamma 90.00
loop_
_symmetry_equiv_pos_as_xyz
'x,y,z'
'-x,-y,-z'
'-x+1/2,-y,z+1/2'
'x+1/2,y,-z+1/2'
'x+1/2,-y+1/2,-z+1/2'
'-x+1/2,y+1/2,z+1/2'
'-x,y+1/2,-z'
'x,-y+1/2,z'
loop_
_atom_site_label
_atom_site_type_symbol
_atom_site_fract_x
_atom_site_fract_y
_atom_site_fract_z
Cs1 Cs 0.170 0.011 0.087
Pr1 Pr 0.006 0.250 0.573
I1 I 0.014 0.250 0.900
I2 I 0.059 0.548 0.666
I3 I 0.184 0.250 0.409
I4 I 0.196 0.750 0.365
```

Properties
N(E_F)	0.00	states/eV per atom
crystal system	orthorhombic

=====

Least stable: model 1